{
  "formula": "NaPu2O4",
  "functional": "PBE-GGA",
  "state": "optimized geometry",
  "magnetic_moment_mub_per_cell": 0.2,
  "e_above_lowest_polymorph_mev_per_atom": 0,
  "dft_energy_ev_per_atom": -9.676,
  "volume_a3_per_atom": 20.312,
  "formation_energy_uncorrected_kj_per_mol_fu": -1729,
  "crystal_system": "monoclinic",
  "lattice_angstrom": [[3.552, 0.000, 0.000], [0.000, 5.954, -1.582], [0.000, -1.374, 7.088]],
  "species": ["Na", "Pu", "Pu", "O", "O", "O", "O"],
  "frac_coords": [[0.000, 0.000, 0.500], [0.500, 0.500, 0.000], [0.000, 0.000, 0.000], [0.000, 0.747, 0.168], [0.500, 0.238, 0.152], [0.500, 0.762, 0.848], [0.000, 0.253, 0.832]]
}

***

{
  "formula": "Cs2ErU2Se6",
  "functional": "PBE-GGA",
  "state": "optimized geometry",
  "magnetic_moment_mub_per_cell": 5.0,
  "dft_energy_ev_per_atom": -5.947,
  "volume_a3_per_atom": 35.631,
  "formation_energy_uncorrected_kj_per_mol_fu": -1511,
  "crystal_system": "monoclinic",
  "lattice_angstrom": [[-7.193, 0.594, -0.695], [3.712, -4.405, -4.403], [0.077, -5.213, 7.254]],
  "species": ["Cs", "Cs", "Er", "U", "U", "Se", "Se", "Se", "Se", "Se", "Se"],
  "frac_coords": [[0.834, 0.166, 0.000], [0.166, 0.834, 0.000], [0.000, 0.000, 0.500], [0.334, 0.666, 0.500], [0.666, 0.334, 0.500], [0.729, 0.729, 0.682], [0.060, 0.392, 0.682], [0.271, 0.271, 0.318], [0.392, 0.060, 0.682], [0.940, 0.608, 0.318], [0.608, 0.940, 0.318]]
}